# GGA-PBE MgReHg2, optimized geometry
data_MgReHg2
_cell_length_a 2.913
_cell_length_b 4.365
_cell_length_c 5.952
_cell_angle_alpha 90.00
_cell_angle_beta 90.00
_cell_angle_gamma 90.00
_space_group_name_H-M_alt 'P 1'
_space_group_IT_number 1
_space_group_name_Hall 'P 1'
loop_
_atom_site_label
_atom_site_type_symbol
_atom_site_fract_x
_atom_site_fract_y
_atom_site_fract_z
Mg1 Mg 0.000 0.000 0.000
Re1 Re 0.500 0.500 0.774
Hg1 Hg 0.000 0.000 0.542
Hg2 Hg 0.500 0.500 0.257
# - Formation energy from the elements: 0.53 eV/atom
# - Raw total energy: -3.1322 eV/atom
# - Space group: Pmm2
# - ρ: 13.423 g/cm³

# GGA-PBE TmMnV2, optimized geometry
data_TmMnV2
_cell_length_a 5.588
_cell_length_b 5.588
_cell_length_c 5.588
_cell_angle_alpha 42.20
_cell_angle_beta 42.20
_cell_angle_gamma 42.20
_space_group_name_H-M_alt 'P 1'
_space_group_IT_number 1
_space_group_name_Hall 'P 1'
loop_
_atom_site_label
_atom_site_type_symbol
_atom_site_fract_x
_atom_site_fract_y
_atom_site_fract_z
Tm1 Tm 0.000 0.000 0.000
Mn1 Mn 0.500 0.500 0.500
V1 V 0.203 0.203 0.203
V2 V 0.797 0.797 0.797
# - Formation energy from the elements: 0.29 eV/atom
# - Raw total energy: -7.6838 eV/atom
# - Space group: R-3m
# - ρ: 7.591 g/cm³

# GGA-PBE BaZnCd2Ga, optimized geometry
data_BaZnCd2Ga
_cell_length_a 5.298
_cell_length_b 5.298
_cell_length_c 5.043
_cell_angle_alpha 90.00
_cell_angle_beta 90.00
_cell_angle_gamma 90.00
_space_group_name_H-M_alt 'P 1'
_space_group_IT_number 1
_space_group_name_Hall 'P 1'
loop_
_atom_site_label
_atom_site_type_symbol
_atom_site_fract_x
_atom_site_fract_y
_atom_site_fract_z
Ba1 Ba 0.000 0.000 0.000
Zn1 Zn 0.500 0.500 0.500
Cd1 Cd 0.000 0.500 0.500
Cd2 Cd 0.500 0.000 0.500
Ga1 Ga 0.500 0.500 0.000
# - Formation energy from the elements: -0.08 eV/atom
# - Raw total energy: -1.6923 eV/atom
# - Space group: P4/mmm
# - ρ: 5.833 g/cm³

# GGA-PBE NdScSi2Pd5, optimized geometry
data_NdScSi2Pd5
_cell_length_a 4.160
_cell_length_b 4.160
_cell_length_c 9.043
_cell_angle_alpha 90.00
_cell_angle_beta 90.00
_cell_angle_gamma 90.00
_space_group_name_H-M_alt 'P 1'
_space_group_IT_number 1
_space_group_name_Hall 'P 1'
loop_
_atom_site_label
_atom_site_type_symbol
_atom_site_fract_x
_atom_site_fract_y
_atom_site_fract_z
Nd1 Nd 0.000 0.000 0.000
Sc1 Sc 0.000 0.000 0.500
Si1 Si 0.500 0.500 0.373
Si2 Si 0.500 0.500 0.627
Pd1 Pd 0.000 0.500 0.241
Pd2 Pd 0.000 0.500 0.759
Pd3 Pd 0.500 0.000 0.241
Pd4 Pd 0.500 0.000 0.759
Pd5 Pd 0.500 0.500 0.000
# - Raw total energy: -6.1461 eV/atom
# - Space group: P4/mmm
# - ρ: 8.249 g/cm³
# - Formation energy without anion corrections: -0.823 eV per atom

# GGA-PBE NdHo12Th5, optimized geometry
data_NdHo12Th5
_cell_length_a 10.655
_cell_length_b 10.655
_cell_length_c 6.157
_cell_angle_alpha 106.77
_cell_angle_beta 106.77
_cell_angle_gamma 59.69
_space_group_name_H-M_alt 'P 1'
_space_group_IT_number 1
_space_group_name_Hall 'P 1'
loop_
_atom_site_label
_atom_site_type_symbol
_atom_site_fract_x
_atom_site_fract_y
_atom_site_fract_z
Nd1 Nd 0.000 0.000 0.000
Ho1 Ho 0.002 0.334 0.999
Ho2 Ho 0.167 0.833 0.500
Ho3 Ho 0.168 0.499 0.500
Ho4 Ho 0.334 0.002 0.999
Ho5 Ho 0.337 0.663 0.000
Ho6 Ho 0.499 0.168 0.500
Ho7 Ho 0.501 0.832 0.500
Ho8 Ho 0.663 0.337 0.000
Ho9 Ho 0.666 0.998 0.001
Ho10 Ho 0.832 0.501 0.500
Ho11 Ho 0.833 0.167 0.500
Ho12 Ho 0.998 0.666 0.001
Th1 Th 0.168 0.168 0.508
Th2 Th 0.333 0.333 0.999
Th3 Th 0.500 0.500 0.500
Th4 Th 0.667 0.667 0.001
Th5 Th 0.832 0.832 0.492
# - Formation energy from the elements: 0.04 eV/atom
# - Raw total energy: -5.3350 eV/atom
# - Space group: C2/m
# - ρ: 9.580 g/cm³

# GGA-PBE NdPuSe2, optimized geometry
data_NdPuSe2
_cell_length_a 5.155
_cell_length_b 5.155
_cell_length_c 3.607
_cell_angle_alpha 90.00
_cell_angle_beta 90.00
_cell_angle_gamma 90.00
_space_group_name_H-M_alt 'P 1'
_space_group_IT_number 1
_space_group_name_Hall 'P 1'
loop_
_atom_site_label
_atom_site_type_symbol
_atom_site_fract_x
_atom_site_fract_y
_atom_site_fract_z
Nd1 Nd 0.000 0.000 0.000
Pu1 Pu 0.500 0.500 0.000
Se1 Se 0.000 0.500 0.500
Se2 Se 0.500 0.000 0.500
# - Raw total energy: -7.9626 eV/atom
# - Space group: P4/mmm
# - ρ: 9.461 g/cm³
# - Formation energy without anion corrections: -1.445 eV per atom

# GGA-PBE Sr2ZnRu, optimized geometry
data_Sr2ZnRu
_cell_length_a 3.665
_cell_length_b 3.694
_cell_length_c 7.803
_cell_angle_alpha 90.00
_cell_angle_beta 90.00
_cell_angle_gamma 90.00
_space_group_name_H-M_alt 'P 1'
_space_group_IT_number 1
_space_group_name_Hall 'P 1'
loop_
_atom_site_label
_atom_site_type_symbol
_atom_site_fract_x
_atom_site_fract_y
_atom_site_fract_z
Sr1 Sr 0.000 0.000 0.225
Sr2 Sr 0.000 0.000 0.775
Zn1 Zn 0.500 0.500 0.500
Ru1 Ru 0.500 0.500 0.000
# - Formation energy from the elements: 0.27 eV/atom
# - Raw total energy: -3.2089 eV/atom
# - Space group: Pmmm
# - ρ: 5.372 g/cm³

# GGA-PBE SbIrBr2, optimized geometry
data_SbIrBr2
_cell_length_a 9.091
_cell_length_b 9.091
_cell_length_c 9.091
_cell_angle_alpha 23.22
_cell_angle_beta 23.22
_cell_angle_gamma 23.22
_space_group_name_H-M_alt 'P 1'
_space_group_IT_number 1
_space_group_name_Hall 'P 1'
loop_
_atom_site_label
_atom_site_type_symbol
_atom_site_fract_x
_atom_site_fract_y
_atom_site_fract_z
Sb1 Sb 0.000 0.000 0.000
Ir1 Ir 0.500 0.500 0.500
Br1 Br 0.221 0.221 0.221
Br2 Br 0.779 0.779 0.779
# - Raw total energy: -3.6003 eV/atom
# - Space group: R-3m
# - ρ: 7.673 g/cm³
# - Formation energy without anion corrections: 0.482 eV per atom

# GGA-PBE PuGa3, optimized geometry
data_PuGa3
_cell_length_a 10.208
_cell_length_b 10.208
_cell_length_c 10.208
_cell_angle_alpha 34.92
_cell_angle_beta 34.92
_cell_angle_gamma 34.92
_space_group_name_H-M_alt 'P 1'
_space_group_IT_number 1
_space_group_name_Hall 'P 1'
loop_
_atom_site_label
_atom_site_type_symbol
_atom_site_fract_x
_atom_site_fract_y
_atom_site_fract_z
Pu1 Pu 0.127 0.127 0.127
Pu2 Pu 0.288 0.288 0.288
Pu3 Pu 0.712 0.712 0.712
Pu4 Pu 0.873 0.873 0.873
Ga1 Ga 0.154 0.611 0.611
Ga2 Ga 0.207 0.207 0.711
Ga3 Ga 0.207 0.711 0.207
Ga4 Ga 0.289 0.793 0.793
Ga5 Ga 0.389 0.389 0.846
Ga6 Ga 0.389 0.846 0.389
Ga7 Ga 0.611 0.154 0.611
Ga8 Ga 0.611 0.611 0.154
Ga9 Ga 0.711 0.207 0.207
Ga10 Ga 0.793 0.289 0.793
Ga11 Ga 0.793 0.793 0.289
Ga12 Ga 0.846 0.389 0.389
# - Formation energy from the elements: -0.38 eV/atom
# - Raw total energy: -6.2362 eV/atom
# - Space group: R-3m
# - ρ: 9.674 g/cm³

# GGA-PBE Te2Pb3Se, optimized geometry
data_Te2Pb3Se
_cell_length_a 7.893
_cell_length_b 7.893
_cell_length_c 7.888
_cell_angle_alpha 99.57
_cell_angle_beta 99.57
_cell_angle_gamma 120.11
_space_group_name_H-M_alt 'P 1'
_space_group_IT_number 1
_space_group_name_Hall 'P 1'
loop_
_atom_site_label
_atom_site_type_symbol
_atom_site_fract_x
_atom_site_fract_y
_atom_site_fract_z
Te1 Te 0.082 0.918 0.750
Te2 Te 0.244 0.756 0.250
Te3 Te 0.756 0.244 0.750
Te4 Te 0.918 0.082 0.250
Pb1 Pb 0.000 0.500 0.500
Pb2 Pb 0.188 0.345 0.001
Pb3 Pb 0.345 0.188 0.501
Pb4 Pb 0.500 0.000 0.000
Pb5 Pb 0.655 0.812 0.499
Pb6 Pb 0.812 0.655 0.999
Se1 Se 0.412 0.588 0.750
Se2 Se 0.588 0.412 0.250
# - Raw total energy: -3.9294 eV/atom
# - Space group: C2/c
# - ρ: 7.918 g/cm³
# - Formation energy without anion corrections: -0.447 eV per atom

# GGA-PBE K2ScVS4, optimized geometry
data_K2ScVS4
_cell_length_a 6.804
_cell_length_b 6.804
_cell_length_c 6.804
_cell_angle_alpha 117.89
_cell_angle_beta 117.89
_cell_angle_gamma 93.69
_space_group_name_H-M_alt 'P 1'
_space_group_IT_number 1
_space_group_name_Hall 'P 1'
loop_
_atom_site_label
_atom_site_type_symbol
_atom_site_fract_x
_atom_site_fract_y
_atom_site_fract_z
K1 K 0.000 0.000 0.000
K2 K 0.750 0.250 0.500
Sc1 Sc 0.250 0.750 0.500
V1 V 0.500 0.500 0.000
S1 S 0.221 0.140 0.605
S2 S 0.383 0.779 0.918
S3 S 0.535 0.617 0.395
S4 S 0.860 0.465 0.082
# - Raw total energy: -5.5259 eV/atom
# - Space group: I-4
# - ρ: 2.189 g/cm³
# - Formation energy without anion corrections: -1.257 eV per atom

# GGA-PBE Pm3Nd2SmBi6, optimized geometry
data_Pm3Nd2SmBi6
_cell_length_a 10.250
_cell_length_b 10.250
_cell_length_c 9.169
_cell_angle_alpha 102.88
_cell_angle_beta 102.88
_cell_angle_gamma 25.86
_space_group_name_H-M_alt 'P 1'
_space_group_IT_number 1
_space_group_name_Hall 'P 1'
loop_
_atom_site_label
_atom_site_type_symbol
_atom_site_fract_x
_atom_site_fract_y
_atom_site_fract_z
Pm1 Pm 0.000 0.000 0.000
Pm2 Pm 0.333 0.333 0.666
Pm3 Pm 0.667 0.667 0.334
Nd1 Nd 0.334 0.334 0.167
Nd2 Nd 0.666 0.666 0.833
Sm1 Sm 0.000 0.000 0.500
Bi1 Bi 0.166 0.166 0.084
Bi2 Bi 0.166 0.166 0.582
Bi3 Bi 0.499 0.499 0.749
Bi4 Bi 0.501 0.501 0.251
Bi5 Bi 0.834 0.834 0.418
Bi6 Bi 0.834 0.834 0.916
# - Formation energy from the elements: -0.94 eV/atom
# - Raw total energy: -5.2575 eV/atom
# - Space group: C2/m
# - ρ: 8.639 g/cm³